Below is an optimized crystal structure of Li5ZnAg, with properties calculated at the PBE level.

Summary:
- E above lowest polymorph (kJ/mol of atoms) = 0.34
- DOS at the Fermi energy (states/eV/atom) = 0.22
- space group = P4/mmm, No. 123
- crystal system = tetragonal
- energy of formation from the pure elements (eV per atom) = -0.063
- total magnetic moment (μB/atom) = 0.000

abc: 4.2806 4.2806 6.9175
angles: 90.00 90.00 90.05
Closest atoms and distances in Å follow each position.
Positions (direct):
Zn  0.0000  0.0000  0.0000  8 Li 2.67
Li  0.0000  0.5000  0.2302  2 Zn 2.67, 2 Ag 2.84, 2 Li 2.84
Li  0.5000  0.0000  0.2302  2 Zn 2.67, 2 Ag 2.84, 2 Li 2.84
Li  0.5000  0.0000  0.7698  2 Zn 2.67, 2 Ag 2.84, 2 Li 2.84
Li  0.0000  0.5000  0.7698  2 Zn 2.67, 2 Ag 2.84, 2 Li 2.84
Ag  0.5000  0.5000  0.5000  12 Li 2.84-3.03
Li  0.0000  0.0000  0.5000  8 Li 2.84, 4 Ag 3.03

***

Below is an optimized crystal structure of LiZn2Ag6, with properties calculated at the PBE level.

Summary:
- E above lowest polymorph (kJ/mol of atoms) = 0.00
- DOS at the Fermi energy (states/eV/atom) = 0.22
- space group = C2/c, No. 15
- crystal system = monoclinic
- energy of formation from the pure elements (eV per atom) = -0.053
- total magnetic moment (μB/atom) = 0.000

abc: 4.9683 8.0450 8.0450
angles: 72.90 83.49 83.49
Closest atoms and distances in Å follow each position.
Positions (direct):
Li  0.2500  0.1229  0.8771  10 Ag 2.77-2.97
Ag  0.6860  0.2379  0.9848  2 Zn 2.75-2.86, 3 Li 2.77-2.97, 5 Ag 2.80-2.88
Zn  0.4115  0.5371  0.7942  10 Ag 2.75-2.97
Zn  0.5885  0.4629  0.2058  10 Ag 2.75-2.97
Zn  0.9115  0.7942  0.5371  10 Ag 2.75-2.97
Ag  0.1860  0.9848  0.2379  2 Zn 2.75-2.86, 3 Li 2.77-2.97, 5 Ag 2.80-2.88
Ag  0.5221  0.3175  0.5735  4 Zn 2.75-2.97, 1 Li 2.78, 5 Ag 2.80-2.87
Ag  0.4779  0.6825  0.4265  4 Zn 2.75-2.97, 1 Li 2.78, 5 Ag 2.80-2.87
Ag  0.8560  0.6520  0.8993  4 Zn 2.77-2.92, 5 Ag 2.80-2.88, 1 Li 2.88
Ag  0.9779  0.4265  0.6825  4 Zn 2.75-2.97, 1 Li 2.78, 5 Ag 2.80-2.87
Ag  0.0221  0.5735  0.3175  4 Zn 2.75-2.97, 1 Li 2.78, 5 Ag 2.80-2.87
Zn  0.0885  0.2058  0.4629  10 Ag 2.75-2.97
Ag  0.1440  0.3480  0.1007  4 Zn 2.77-2.92, 5 Ag 2.80-2.88, 1 Li 2.88
Ag  0.8140  0.0152  0.7621  2 Zn 2.75-2.86, 3 Li 2.77-2.97, 5 Ag 2.80-2.88
Ag  0.6440  0.1007  0.3480  4 Zn 2.77-2.92, 5 Ag 2.80-2.88, 1 Li 2.88
Ag  0.3560  0.8993  0.6520  4 Zn 2.77-2.92, 5 Ag 2.80-2.88, 1 Li 2.88
Li  0.7500  0.8771  0.1229  10 Ag 2.77-2.97
Ag  0.3140  0.7621  0.0152  2 Zn 2.75-2.86, 3 Li 2.77-2.97, 5 Ag 2.80-2.88

***

Below is an optimized crystal structure of Li2ZnAg, with properties calculated at the PBE level.

Summary:
- DOS at the Fermi energy (states/eV/atom) = 0.42
- space group = R-3m, No. 166
- crystal system = trigonal
- energy of formation from the pure elements (eV per atom) = -0.111
- total magnetic moment (μB/atom) = 0.000

abc: 9.3028 9.3028 9.3028
angles: 17.72 17.72 17.72
Closest atoms and distances in Å follow each position.
Positions (direct):
Li  0.4987  0.4987  0.4987  3 Ag 2.80, 3 Zn 2.85, 6 Li 2.87
Ag  0.7500  0.7500  0.7500  6 Li 2.80, 6 Ag 2.87
Zn  0.2500  0.2500  0.2500  6 Li 2.85, 6 Zn 2.87
Li  0.0013  0.0013  0.0013  3 Ag 2.80, 3 Zn 2.85, 6 Li 2.87

***

Below is an optimized crystal structure of LiZnAg2, with properties calculated at the PBE level.

Summary:
- DOS at the Fermi energy (states/eV/atom) = 0.32
- space group = Cm, No. 8
- crystal system = monoclinic
- energy of formation from the pure elements (eV per atom) = -0.140
- total magnetic moment (μB/atom) = 0.000

abc: 2.9003 4.7679 4.9955
angles: 101.79 106.88 90.00
Closest atoms and distances in Å follow each position.
Positions (direct):
Zn  0.7499  0.2283  0.4998  7 Ag 2.75-2.81, 3 Li 2.87-3.03, 2 Zn 2.90
Ag  0.2481  0.7226  0.4963  3 Li 2.76-2.79, 4 Zn 2.77-2.81, 5 Ag 2.90-3.00
Li  0.4976  0.5202  0.9951  7 Ag 2.76-2.81, 3 Zn 2.87-3.03, 2 Li 2.90
Ag  0.0044  0.0288  0.0088  3 Zn 2.75-2.80, 4 Li 2.77-2.81, 5 Ag 2.90-3.00

***

Below is an optimized crystal structure of LiZn2Ag5, with properties calculated at the PBE level.

Summary:
- E above lowest polymorph (kJ/mol of atoms) = 3.82
- DOS at the Fermi energy (states/eV/atom) = 0.26
- space group = Immm, No. 71
- crystal system = orthorhombic
- energy of formation from the pure elements (eV per atom) = -0.046
- total magnetic moment (μB/atom) = 0.000

abc: 2.9703 7.0819 7.0819
angles: 76.25 77.89 77.89
Closest atoms and distances in Å follow each position.
Positions (direct):
Ag  0.0000  0.5000  0.5000  2 Zn 2.71, 10 Ag 2.91-2.97
Li  0.0000  0.0000  0.0000  2 Li 2.97, 4 Zn 3.04, 8 Ag 3.09
Ag  0.6317  0.6046  0.1319  3 Zn 2.62-2.86, 3 Ag 2.83-2.91
Zn  0.7475  0.7525  0.7525  7 Ag 2.62-2.86
Ag  0.6317  0.1319  0.6046  3 Zn 2.62-2.86, 3 Ag 2.83-2.91
Zn  0.2525  0.2475  0.2475  7 Ag 2.62-2.86
Ag  0.3683  0.3954  0.8681  3 Zn 2.62-2.86, 3 Ag 2.83-2.91
Ag  0.3683  0.8681  0.3954  3 Zn 2.62-2.86, 3 Ag 2.83-2.91

***

Below is an optimized crystal structure of LiZn2Ag4, with properties calculated at the PBE level.

Summary:
- E above lowest polymorph (kJ/mol of atoms) = 0.00
- DOS at the Fermi energy (states/eV/atom) = 0.34
- space group = I4/mmm, No. 139
- crystal system = tetragonal
- energy of formation from the pure elements (eV per atom) = -0.037
- total magnetic moment (μB/atom) = 0.000

abc: 5.8171 5.4390 5.4390
angles: 73.37 57.67 57.67
Closest atoms and distances in Å follow each position.
Positions (direct):
Li  0.0000  0.0000  0.0000  8 Ag 2.72
Ag  0.5000  0.5000  0.0000  4 Zn 2.72, 2 Li 2.72, 2 Ag 2.91
Zn  0.5000  0.5000  0.5000  8 Ag 2.72, 2 Zn 2.91
Ag  0.0000  0.0000  0.5000  4 Zn 2.72, 2 Li 2.72, 2 Ag 2.91
Zn  0.0000  0.5000  0.5000  8 Ag 2.72, 2 Zn 2.91
Ag  0.5000  0.0000  0.5000  4 Zn 2.72, 2 Li 2.72, 2 Ag 2.91
Ag  0.0000  0.5000  0.0000  4 Zn 2.72, 2 Li 2.72, 2 Ag 2.91

***

Below is an optimized crystal structure of Li2Zn2Ag, with properties calculated at the PBE level.

Summary:
- E above lowest polymorph (kJ/mol of atoms) = 22.68
- DOS at the Fermi energy (states/eV/atom) = 0.28
- space group = I4/mmm, No. 139
- crystal system = tetragonal
- energy of formation from the pure elements (eV per atom) = 0.030
- total magnetic moment (μB/atom) = 0.000

abc: 3.6311 3.6311 6.8791
angles: 74.70 74.70 90.00
Closest atoms and distances in Å follow each position.
Positions (direct):
Zn  0.5990  0.5990  0.8019  1 Zn 2.53, 4 Li 2.65
Li  0.7500  0.2500  0.5000  4 Li 2.57, 4 Zn 2.65
Ag  0.0000  0.0000  0.0000  8 Zn 2.86
Li  0.2500  0.7500  0.5000  4 Li 2.57, 4 Zn 2.65
Zn  0.4010  0.4010  0.1981  1 Zn 2.53, 4 Li 2.65

***

Below is an optimized crystal structure of Li2Zn2Ag7, with properties calculated at the PBE level.

Summary:
- E above lowest polymorph (kJ/mol of atoms) = 1.06
- DOS at the Fermi energy (states/eV/atom) = 0.25
- space group = P-1, No. 2
- crystal system = triclinic
- energy of formation from the pure elements (eV per atom) = -0.063
- total magnetic moment (μB/atom) = 0.000

abc: 5.0740 9.1074 8.9565
angles: 32.28 58.92 64.55
Closest atoms and distances in Å follow each position.
Positions (direct):
Ag  0.3574  0.1482  0.0458  2 Li 2.74-2.96, 2 Zn 2.76-2.78, 8 Ag 2.90-3.04
Li  0.2379  0.6893  0.9606  7 Ag 2.65-2.96, 2 Zn 2.94-2.97
Zn  0.5064  0.3009  0.4297  6 Ag 2.67-2.80, 2 Li 2.94-2.97
Ag  0.0000  0.0000  0.0000  2 Li 2.81, 8 Ag 2.86-3.01, 2 Zn 3.01
Ag  0.8046  0.8611  0.5823  3 Li 2.65-2.69, 2 Zn 2.67-2.80, 3 Ag 2.74-2.92
Li  0.7621  0.3107  0.0394  7 Ag 2.65-2.96, 2 Zn 2.94-2.97
Ag  0.1954  0.1389  0.4177  3 Li 2.65-2.69, 2 Zn 2.67-2.80, 3 Ag 2.74-2.92
Ag  0.6426  0.8518  0.9542  2 Li 2.74-2.96, 2 Zn 2.76-2.78, 8 Ag 2.90-3.04
Ag  0.1781  0.5713  0.5160  1 Li 2.71, 2 Zn 2.74-2.79, 8 Ag 2.85-2.98
Zn  0.4936  0.6991  0.5703  6 Ag 2.67-2.80, 2 Li 2.94-2.97
Ag  0.8219  0.4287  0.4840  1 Li 2.71, 2 Zn 2.74-2.79, 8 Ag 2.85-2.98

***

Below is an optimized crystal structure of Li2Zn8Ag, with properties calculated at the PBE level.

Summary:
- E above lowest polymorph (kJ/mol of atoms) = 0.00
- DOS at the Fermi energy (states/eV/atom) = 0.25
- space group = P-1, No. 2
- crystal system = triclinic
- energy of formation from the pure elements (eV per atom) = -0.095
- total magnetic moment (μB/atom) = 0.000

abc: 4.8331 7.3293 6.2724
angles: 58.37 82.02 109.19
Closest atoms and distances in Å follow each position.
Positions (direct):
Ag  0.9995  0.0003  0.9697  2 Li 2.73, 10 Zn 2.77-2.85
Zn  0.6378  0.1868  0.6918  7 Zn 2.70-2.81, 3 Li 2.71-2.79, 2 Ag 2.77-2.81
Li  0.7318  0.6362  0.5159  10 Zn 2.70-2.82, 1 Ag 2.73, 1 Li 2.82
Zn  0.4512  0.2745  0.0561  2 Li 2.70-2.82, 9 Zn 2.70-2.82, 1 Ag 2.77
Zn  0.1881  0.9109  0.5969  9 Zn 2.68-2.82, 2 Li 2.76, 1 Ag 2.85
Zn  0.5478  0.7260  0.8833  2 Li 2.70-2.82, 9 Zn 2.70-2.82, 1 Ag 2.77
Li  0.2672  0.3643  0.4235  10 Zn 2.70-2.82, 1 Ag 2.73, 1 Li 2.82
Zn  0.9120  0.5428  0.1506  8 Zn 2.70-2.81, 3 Li 2.74-2.82, 1 Ag 2.77
Zn  0.8109  0.0896  0.3425  9 Zn 2.68-2.82, 2 Li 2.76, 1 Ag 2.85
Zn  0.3612  0.8137  0.2476  7 Zn 2.70-2.81, 3 Li 2.71-2.79, 2 Ag 2.77-2.81
Zn  0.0870  0.4577  0.7888  8 Zn 2.70-2.81, 3 Li 2.74-2.82, 1 Ag 2.77

***

Below is an optimized crystal structure of Li6Zn10Ag, with properties calculated at the PBE level.

Summary:
- DOS at the Fermi energy (states/eV/atom) = 0.27
- space group = P-31m, No. 162
- crystal system = trigonal
- energy of formation from the pure elements (eV per atom) = -0.113
- total magnetic moment (μB/atom) = 0.000

abc: 5.3352 7.4163 7.4163
angles: 120.00 90.00 90.00
Closest atoms and distances in Å follow each position.
Positions (direct):
Ag  0.5000  0.0000  0.0000  6 Li 2.79, 6 Zn 2.83
Zn  0.0000  0.6667  0.3333  8 Zn 2.67-2.77, 6 Li 2.96
Zn  0.8391  0.2926  0.0000  5 Li 2.59-2.78, 4 Zn 2.77, 1 Ag 2.83
Li  0.6743  0.3551  0.3551  7 Zn 2.57-2.78, 1 Ag 2.79, 1 Li 2.84
Zn  0.5000  0.6667  0.3333  6 Li 2.57, 2 Zn 2.67
Li  0.3257  0.0000  0.3551  7 Zn 2.57-2.78, 1 Ag 2.79, 1 Li 2.84
Li  0.3257  0.3551  0.0000  7 Zn 2.57-2.78, 1 Ag 2.79, 1 Li 2.84
Li  0.6743  0.6449  0.0000  7 Zn 2.57-2.78, 1 Ag 2.79, 1 Li 2.84
Zn  0.1609  0.0000  0.7074  5 Li 2.59-2.78, 4 Zn 2.77, 1 Ag 2.83
Zn  0.1609  0.7074  0.0000  5 Li 2.59-2.78, 4 Zn 2.77, 1 Ag 2.83
Li  0.6743  0.0000  0.6449  7 Zn 2.57-2.78, 1 Ag 2.79, 1 Li 2.84
Zn  0.0000  0.3333  0.6667  8 Zn 2.67-2.77, 6 Li 2.96
Li  0.3257  0.6449  0.6449  7 Zn 2.57-2.78, 1 Ag 2.79, 1 Li 2.84
Zn  0.1609  0.2926  0.2926  5 Li 2.59-2.78, 4 Zn 2.77, 1 Ag 2.83
Zn  0.8391  0.0000  0.2926  5 Li 2.59-2.78, 4 Zn 2.77, 1 Ag 2.83
Zn  0.5000  0.3333  0.6667  6 Li 2.57, 2 Zn 2.67
Zn  0.8391  0.7074  0.7074  5 Li 2.59-2.78, 4 Zn 2.77, 1 Ag 2.83

***

Below is an optimized crystal structure of LiZn5Ag2, with properties calculated at the PBE level.

Summary:
- DOS at the Fermi energy (states/eV/atom) = 0.25
- space group = Pbam, No. 55
- crystal system = orthorhombic
- energy of formation from the pure elements (eV per atom) = -0.082
- total magnetic moment (μB/atom) = 0.000

abc: 4.1261 5.4835 10.8990
angles: 90.00 90.00 90.00
Closest atoms and distances in Å follow each position.
Positions (direct):
Zn  0.0000  0.5000  0.5000  6 Zn 2.68-2.74, 2 Li 2.74, 4 Ag 2.93
Ag  0.5000  0.7127  0.8755  10 Zn 2.70-2.93, 2 Li 2.73
Li  0.0000  0.5000  0.0000  4 Ag 2.73, 8 Zn 2.74-2.90
Zn  0.5000  0.7199  0.6232  4 Ag 2.70-2.78, 6 Zn 2.74-2.85, 2 Li 2.90
Li  0.0000  0.0000  0.5000  4 Ag 2.73, 8 Zn 2.74-2.90
Zn  0.0000  0.9658  0.7551  7 Zn 2.68-2.85, 1 Li 2.79, 4 Ag 2.81-2.85
Zn  0.5000  0.2199  0.8768  4 Ag 2.70-2.78, 6 Zn 2.74-2.85, 2 Li 2.90
Zn  0.5000  0.2801  0.3768  4 Ag 2.70-2.78, 6 Zn 2.74-2.85, 2 Li 2.90
Zn  0.0000  0.0342  0.2449  7 Zn 2.68-2.85, 1 Li 2.79, 4 Ag 2.81-2.85
Ag  0.5000  0.2873  0.1245  10 Zn 2.70-2.93, 2 Li 2.73
Ag  0.5000  0.7873  0.3755  10 Zn 2.70-2.93, 2 Li 2.73
Zn  0.5000  0.7801  0.1232  4 Ag 2.70-2.78, 6 Zn 2.74-2.85, 2 Li 2.90
Zn  0.0000  0.0000  0.0000  6 Zn 2.68-2.74, 2 Li 2.74, 4 Ag 2.93
Ag  0.5000  0.2127  0.6245  10 Zn 2.70-2.93, 2 Li 2.73
Zn  0.0000  0.5342  0.2551  7 Zn 2.68-2.85, 1 Li 2.79, 4 Ag 2.81-2.85
Zn  0.0000  0.4658  0.7449  7 Zn 2.68-2.85, 1 Li 2.79, 4 Ag 2.81-2.85